Entry from the Open Quantum Materials Database: a relaxed PmPa2 crystal (PBE).

The structure in POSCAR format:
```
PmPa2
1.0
0.000 6.013 6.013
6.013 0.000 6.013
6.013 6.013 0.000
Pm Pa
2 4
Direct
0.125 0.125 0.125
0.875 0.875 0.875
0.000 0.000 0.000
0.000 0.000 0.500
0.000 0.500 0.000
0.500 0.000 0.000
```

Magnetization: 0.33 μB per atom
Formation energy: 2.843 eV/atom